{
  "formula": "CaBeMo2",
  "functional": "PBE",
  "state": "relaxed",
  "delta_e_f_mev_per_atom": 531,
  "lattice_angstrom": [[-1.864, -1.906, -0.799], [2.457, -1.241, -0.409], [-0.252, -3.224, 8.272]],
  "species": ["Ca", "Mo", "Mo", "Be"],
  "fractional_positions": [[0.500, 0.500, 0.729], [0.000, 0.000, 0.030], [0.500, 0.500, 0.274], [0.000, 0.000, 0.467]]
}